First-principles (PBE+U) data for KAcCoF6 after structural relaxation, as listed in Alexandria via LeMat-Bulk.

Properties
- N(E_F): 0.0 states/eV per cell
- Total DFT energy (no corrections): -5.525 eV/atom
- Space group: No. 163
- Volume: 166 Å³/f.u.
- Total magnetization: 3.0 μB per formula unit

abc: 6.169 6.169 10.071
angles: 90.00 90.00 120.00
Fractional positions:
K 0.000 0.000 0.000
K 0.000 0.000 0.500
Ac 0.333 0.667 0.250
Ac 0.667 0.333 0.750
Co 0.333 0.667 0.750
Co 0.667 0.333 0.250
F 0.042 0.387 0.640
F 0.042 0.655 0.860
F 0.345 0.387 0.860
F 0.345 0.958 0.640
F 0.387 0.042 0.140
F 0.387 0.345 0.360
F 0.613 0.655 0.640
F 0.613 0.958 0.860
F 0.655 0.042 0.360
F 0.655 0.613 0.140
F 0.958 0.345 0.140
F 0.958 0.613 0.360